No. 1
Compound: VSO2F
Source: Alexandria
Functional: GGA+U
Structure: optimized geometry

The total magnetization comes out at 0.65 μB per atom. The calculation puts the density of states at the Fermi level at 0.40 states/eV/atom. The total energy is -5.026 eV/atom.

Cell lengths 3.576, 3.576, 5.110 Å; angles 90.00, 90.00, 90.00 degrees
Positions (direct):
V (0.000, 0.000, 0.000)
S (0.500, 0.500, 0.500)
O (0.000, 0.500, 0.500)
O (0.500, 0.000, 0.500)
F (0.500, 0.500, 0.000)

No. 2
Compound: WSOF2
Source: Alexandria
Functional: GGA+U
Structure: optimized geometry

The total magnetization comes out at 0.78 μB per atom. The calculation puts the density of states at the Fermi level at 0.55 states/eV/atom. The total energy is -5.121 eV/atom. The value obtained for the distance to the lowest polymorph of the same formula is 0 meV per atom.

Cell lengths 4.297, 4.297, 3.939 Å; angles 90.00, 90.00, 90.00 degrees
Positions (direct):
W (0.000, 0.000, 0.000)
S (0.500, 0.500, 0.500)
O (0.000, 0.000, 0.500)
F (0.000, 0.500, 0.000)
F (0.500, 0.000, 0.000)

No. 3
Compound: WSOF2
Source: Alexandria
Functional: GGA+U
Structure: optimized geometry

The total magnetization comes out at 0.88 μB per atom. The calculation puts the density of states at the Fermi level at 0.38 states/eV/atom. The total energy is -4.014 eV/atom. The value obtained for the distance to the lowest polymorph of the same formula is 1107 meV per atom.

Cell lengths 4.796, 4.796, 3.432 Å; angles 90.00, 90.00, 90.00 degrees
Positions (direct):
W (0.000, 0.000, 0.000)
S (0.500, 0.500, 0.500)
O (0.500, 0.500, 0.000)
F (0.000, 0.500, 0.500)
F (0.500, 0.000, 0.500)

Q: Which formula does entry 2 have?
A: WSOF2